Here is crystalline Ir6Pb4O19 at its relaxed geometry from Alexandria via LeMat-Bulk. Energies are from PBE.

Cell: 9.3795 9.3795 9.3795 Å, 90.00 90.00 90.00°
Last column: nearest neighbours and their distance in Å.
Space group I23 (No. 197)
Symmetry-distinct sites (fractional):
Ir1 0.0000 0.3399 0.5000 (multiplicity 12)  6 O 1.94-2.02
Pb1 0.1481 0.1481 0.8519 (multiplicity 8)  4 O 2.41-2.67
O1 0.0000 0.0000 0.0000 (multiplicity 2)  4 Pb 2.41
O2 0.0000 0.0000 0.3558 (multiplicity 12)  2 Ir 2.02
O3 0.0029 0.3414 0.2930 (multiplicity 24)  2 Ir 1.94

Formation energy (no corrections) (eV per atom): -0.8651
Volume (Å³/f.u.): 412.58
VASP energy (eV per cell): -374.6
Theoretical density (g/cm3): 9.20
Size of the total moment (Bohr magnetons per cell): 0.0


Here is crystalline IrPb4O2 at its relaxed geometry from Alexandria via LeMat-Bulk. Energies are from PBE.

Cell: 5.2112 5.2112 12.4363 Å, 90.00 90.00 90.00°
Last column: nearest neighbours and their distance in Å.
Space group I4/mmm (No. 139)
Symmetry-distinct sites (fractional):
Ir1 0.0000 0.0000 0.0000 (multiplicity 2)  6 Pb 2.61-2.86
Pb1 0.0000 0.0000 0.2299 (multiplicity 4)  1 O 2.13
Pb2 0.0000 0.5000 0.0000 (multiplicity 4)  2 Ir 2.61, 4 O 2.88
O1 0.0000 0.0000 0.4014 (multiplicity 4)  1 Pb 2.13

Formation energy (no corrections) (eV per atom): -0.0851
Volume (Å³/f.u.): 168.86
VASP energy (eV per cell): -68.4
Theoretical density (g/cm3): 10.35
Size of the total moment (Bohr magnetons per cell): 0.0


Here is crystalline IrPb3O at its relaxed geometry from Alexandria via LeMat-Bulk. Energies are from PBE.

Cell: 5.2620 5.2620 5.2620 Å, 90.00 90.00 90.00°
Last column: nearest neighbours and their distance in Å.
Space group Pm-3m (No. 221)
Symmetry-distinct sites (fractional):
Ir1 0.0000 0.0000 0.0000 (multiplicity 1)  6 Pb 2.63
Pb1 0.0000 0.0000 0.5000 (multiplicity 3)  2 Ir 2.63
O1 0.5000 0.5000 0.5000 (multiplicity 1)  12 Pb 3.72

Formation energy (no corrections) (eV per atom): 0.4437
Volume (Å³/f.u.): 145.70
VASP energy (eV per cell): -22.7
Distance to the lowest polymorph of the same formula (eV/f.u.): 1.247
Theoretical density (g/cm3): 9.46
Size of the total moment (Bohr magnetons per cell): 0.0


Here is crystalline Ir2PbO at its relaxed geometry from Alexandria via LeMat-Bulk. Energies are from PBE.

Cell: 4.8340 4.8340 13.0219 Å, 90.00 90.00 90.00°
Last column: nearest neighbours and their distance in Å.
Space group I-42d (No. 122)
Symmetry-distinct sites (fractional):
Ir1 0.0763 0.2500 0.1250 (multiplicity 8)  2 O 2.06
Pb1 0.0000 0.0000 0.5000 (multiplicity 4)  4 Ir 2.88
O1 0.0000 0.0000 0.0000 (multiplicity 4)  4 Ir 2.06

Formation energy (no corrections) (eV per atom): 0.2072
Volume (Å³/f.u.): 76.07
VASP energy (eV per cell): -102.2
Distance to the lowest polymorph of the same formula (eV/f.u.): 0.000
Theoretical density (g/cm3): 13.26
Size of the total moment (Bohr magnetons per cell): 0.0


Here is crystalline Ir3PbO at its relaxed geometry from Alexandria via LeMat-Bulk. Energies are from PBE.

Cell: 5.0639 5.0639 5.0639 Å, 90.00 90.00 90.00°
Last column: nearest neighbours and their distance in Å.
Space group Pm-3m (No. 221)
Symmetry-distinct sites (fractional):
Ir1 0.0000 0.0000 0.5000 (multiplicity 3)  2 Pb 2.53
Pb1 0.0000 0.0000 0.0000 (multiplicity 1)  6 Ir 2.53
O1 0.5000 0.5000 0.5000 (multiplicity 1)  12 Ir 3.58

Formation energy (no corrections) (eV per atom): 2.8595
Volume (Å³/f.u.): 129.85
VASP energy (eV per cell): -21.0
Distance to the lowest polymorph of the same formula (eV/f.u.): 9.865
Theoretical density (g/cm3): 10.23
Size of the total moment (Bohr magnetons per cell): 4.8


Here is crystalline IrPb3O at its relaxed geometry from Alexandria via LeMat-Bulk. Energies are from PBE.

Cell: 4.8616 4.8616 4.8616 Å, 90.00 90.00 90.00°
Last column: nearest neighbours and their distance in Å.
Space group Pm-3m (No. 221)
Symmetry-distinct sites (fractional):
Ir1 0.0000 0.0000 0.0000 (multiplicity 1)  12 Pb 3.44
Pb1 0.0000 0.5000 0.5000 (multiplicity 3)  2 O 2.43
O1 0.5000 0.5000 0.5000 (multiplicity 1)  6 Pb 2.43

Formation energy (no corrections) (eV per atom): 0.1942
Volume (Å³/f.u.): 114.91
VASP energy (eV per cell): -24.0
Distance to the lowest polymorph of the same formula (eV/f.u.): 0.000
Theoretical density (g/cm3): 11.99
Size of the total moment (Bohr magnetons per cell): 0.0


Among the records above, which one has the highest size of the total moment? Ir3PbO


volume of number 3 (IrPb3O)? 145.70 Å³/f.u.


The lowest VASP energy belongs to which entry? Ir6Pb4O19